MnHg2F: optimized geometry, PBE with a Hubbard U.

Unit cell a=6.888 b=6.888 c=6.888 alpha=90.00 beta=90.00 gamma=90.00
Space group Fm-3m (No. 225)
Asymmetric unit:
Mn 0.000 0.000 0.000
Hg 0.250 0.250 0.250
F 0.000 0.000 0.500

Summary:
Its electronic total energy is -45.4 eV for the cell shown. The value obtained for the density of states at the Fermi level is 3.205 states/eV per cell.